# 1
Entry from Alexandria via LeMat-Bulk: a relaxed ZnIrRu2 crystal (PBE-GGA).

Cell and atoms, written as CIF:
```
data_ZnIrRu2
_cell_length_a 2.7478
_cell_length_b 4.6569
_cell_length_c 9.0865
_cell_angle_alpha 90.00
_cell_angle_beta 90.00
_cell_angle_gamma 90.00
_symmetry_space_group_name_H-M 'C m m m'
_symmetry_Int_Tables_number 65
_symmetry_space_group_name_Hall '-C 2 2'
loop_
_atom_site_label
_atom_site_fract_x
_atom_site_fract_y
_atom_site_fract_z
Zn1 0.0000 0.0000 0.0000
Ir1 0.0000 0.0000 0.5000
Ru1 0.0000 0.5000 0.2474
```

# 2
Entry from Alexandria via LeMat-Bulk: a relaxed CdP2Ru crystal (PBE-GGA).

Cell and atoms, written as CIF:
```
data_CdP2Ru
_cell_length_a 3.1774
_cell_length_b 3.1774
_cell_length_c 23.2355
_cell_angle_alpha 90.00
_cell_angle_beta 90.00
_cell_angle_gamma 120.00
_symmetry_space_group_name_H-M 'R -3 m'
_symmetry_Int_Tables_number 166
_symmetry_space_group_name_Hall '-R 3 2"'
loop_
_atom_site_label
_atom_site_fract_x
_atom_site_fract_y
_atom_site_fract_z
Cd1 0.0000 0.0000 0.0000
P1 0.0000 0.0000 0.2349
Ru1 0.0000 0.0000 0.5000
```

# 3
Entry from Alexandria via LeMat-Bulk: a relaxed MnNbOs crystal (PBE-GGA).

Computed properties:
ΔE to the lowest computed polymorph in eV per atom: 0.000

Cell and atoms, written as CIF:
```
data_MnNbOs
_cell_length_a 4.8894
_cell_length_b 5.1416
_cell_length_c 7.0103
_cell_angle_alpha 90.00
_cell_angle_beta 90.00
_cell_angle_gamma 90.00
_symmetry_space_group_name_H-M 'I m m a'
_symmetry_Int_Tables_number 74
_symmetry_space_group_name_Hall '-I 2b 2'
loop_
_atom_site_label
_atom_site_fract_x
_atom_site_fract_y
_atom_site_fract_z
Mn1 0.2500 0.2500 0.2500
Nb1 0.0000 0.2500 0.6212
Os1 0.0000 0.0000 0.0000
```

no.,energy of formation (eV per atom)
1,0.29
2,0.01
3,-0.16